The following is a PBE calculation of crystalline Gd2DyTm at its relaxed geometry, from Alexandria via LeMat-Bulk.

Results
DFT formation energy = 0.1 eV per formula unit
M_tot = 14.44 Bohr magnetons per cell
Polymorph energy (0 for the lowest one) = 0.001 eV per atom
Total DFT energy (no corrections) = -9.280 eV/atom

Geometry as CIF:
```
data_Gd2DyTm
_symmetry_space_group_name_H-M 'P 4/m m m'
_symmetry_Int_Tables_number 123
_symmetry_space_group_name_Hall '-P 4 2'
_cell_length_a 3.546
_cell_length_b 3.546
_cell_length_c 10.016
_cell_angle_alpha 90.00
_cell_angle_beta 90.00
_cell_angle_gamma 90.00
loop_
_atom_site_label
_atom_site_type_symbol
_atom_site_fract_x
_atom_site_fract_y
_atom_site_fract_z
_atom_site_occupancy
Gd1 Gd 0.000 0.000 0.248 1
Dy1 Dy 0.500 0.500 0.500 1
Tm1 Tm 0.500 0.500 0.000 1
```